1.
# VBiOs2Br | Alexandria via LeMat-Bulk | PBE-GGA | optimized geometry
data_VBiOs2Br
_chemical_formula_sum 'V1 Bi1 Os2 Br1'
_space_group_name_H-M_alt 'P 4/m m m'
_space_group_IT_number 123
_space_group_name_Hall '-P 4 2'
_cell_length_a 5.087
_cell_length_b 5.087
_cell_length_c 5.204
_cell_angle_alpha 90.00
_cell_angle_beta 90.00
_cell_angle_gamma 90.00
loop_
_atom_site_label
_atom_site_type_symbol
_atom_site_fract_x
_atom_site_fract_y
_atom_site_fract_z
V1 V 0.000 0.000 0.000
Bi1 Bi 0.000 0.000 0.500
Os1 Os 0.000 0.500 0.500
Br1 Br 0.500 0.500 0.000
# Magnetization in μB per atom: 0.782
# Final energy in eV/atom: -4.802

***

2.
# VCr3Ge | Alexandria via LeMat-Bulk | PBE-GGA | optimized geometry
data_VCr3Ge
_chemical_formula_sum 'V1 Cr3 Ge1'
_space_group_name_H-M_alt 'P m -3 m'
_space_group_IT_number 221
_space_group_name_Hall '-P 4 2 3'
_cell_length_a 4.554
_cell_length_b 4.554
_cell_length_c 4.554
_cell_angle_alpha 90.00
_cell_angle_beta 90.00
_cell_angle_gamma 90.00
loop_
_atom_site_label
_atom_site_type_symbol
_atom_site_fract_x
_atom_site_fract_y
_atom_site_fract_z
V1 V 0.000 0.000 0.000
Cr1 Cr 0.000 0.500 0.500
Ge1 Ge 0.500 0.500 0.500
# Magnetization in μB per atom: 1.290
# Relative energy among the computed polymorphs in eV per formula unit: 0.000
# Energy of formation from the pure elements in meV/atom: 1185

***

What did the first record say?
# VBiOs2Br | Alexandria via LeMat-Bulk | PBE-GGA | optimized geometry
data_VBiOs2Br
_chemical_formula_sum 'V1 Bi1 Os2 Br1'
_space_group_name_H-M_alt 'P 4/m m m'
_space_group_IT_number 123
_space_group_name_Hall '-P 4 2'
_cell_length_a 5.087
_cell_length_b 5.087
_cell_length_c 5.204
_cell_angle_alpha 90.00
_cell_angle_beta 90.00
_cell_angle_gamma 90.00
loop_
_atom_site_label
_atom_site_type_symbol
_atom_site_fract_x
_atom_site_fract_y
_atom_site_fract_z
V1 V 0.000 0.000 0.000
Bi1 Bi 0.000 0.000 0.500
Os1 Os 0.000 0.500 0.500
Br1 Br 0.500 0.500 0.000
# Magnetization in μB per atom: 0.782
# Final energy in eV/atom: -4.802